A plane-wave DFT calculation with PBE-GGA was carried out for Ac3OsI3 after structural relaxation.

Values from the calculation:
energy = -35.19 eV per formula unit
E_form (uncorrected) = -7.0 eV per formula unit

Cell lengths 4.545, 9.866, 13.254 Å; angles 93.63, 90.00, 90.00 degrees
Positions (direct):
Os 0.250 0.887 0.376
Os 0.750 0.113 0.624
Ac 0.250 0.883 0.165
Ac 0.750 0.090 0.395
Ac 0.750 0.117 0.835
Ac 0.750 0.687 0.380
Ac 0.250 0.313 0.620
Ac 0.250 0.910 0.605
I 0.750 0.605 0.633
I 0.250 0.367 0.878
I 0.250 0.395 0.367
I 0.750 0.129 0.116
I 0.750 0.633 0.122
I 0.250 0.871 0.884

***

A plane-wave DFT calculation with PBE-GGA was carried out for HgIrPt after structural relaxation.

Values from the calculation:
polymorph energy (0 for the lowest one) = 311 meV/atom
energy = -13.35 eV per formula unit

Cell lengths 4.405, 4.405, 4.405 Å; angles 60.00, 60.00, 60.00 degrees
Positions (direct):
Hg 0.500 0.500 0.500
Pt 0.000 0.000 0.000
Ir 0.750 0.750 0.750

***

A plane-wave DFT calculation with PBE-GGA was carried out for PmPa4S5 after structural relaxation.

Values from the calculation:
energy = -80.10 eV per formula unit
E_form (uncorrected) = -16.7 eV per formula unit

Cell lengths 5.535, 6.787, 6.787 Å; angles 80.43, 65.94, 65.94 degrees
Positions (direct):
S 0.900 0.404 0.797
S 0.501 0.000 0.000
S 0.698 0.203 0.404
S 0.102 0.596 0.203
S 0.304 0.797 0.596
Pa 0.604 0.597 0.197
Pa 0.201 0.197 0.403
Pa 0.398 0.403 0.803
Pa 0.801 0.803 0.597
Pm 0.001 0.000 0.000

***

A plane-wave DFT calculation with PBE-GGA was carried out for OsRuPt2 after structural relaxation.

Values from the calculation:
polymorph energy (0 for the lowest one) = 38 meV/atom
energy = -32.47 eV per formula unit

Cell lengths 2.749, 3.862, 5.596 Å; angles 90.00, 90.00, 90.00 degrees
Positions (direct):
Pt 0.500 0.500 0.256
Pt 0.000 0.000 0.993
Ru 0.000 0.000 0.516
Os 0.500 0.500 0.736

***

- Look up the energy of the second one.
  -13.35 eV per formula unit